Be5GePd6: relaxed, PBE.

Calculated values
**Density of states at the Fermi level**: 4.816 states/eV/cell
**Crystal system**: monoclinic
**Formation energy**: -0.49 eV per atom

a = 4.119 Å, b = 5.724 Å, c = 6.405 Å
α = 90.00°, β = 105.50°, γ = 90.00°
Element x y z (fractional)
Be1 0.326 0.000 0.655
Be2 0.674 0.000 0.345
Be3 0.329 0.500 0.667
Ge1 0.000 0.000 0.000
Be4 0.671 0.500 0.333
Be5 0.000 0.500 0.000
Pd1 0.500 0.259 0.000
Pd2 0.825 0.254 0.659
Pd3 0.175 0.254 0.341
Pd4 0.175 0.746 0.341
Pd5 0.500 0.741 0.000
Pd6 0.825 0.746 0.659



Rb3Pa3SnN8: relaxed, PBE.

Calculated values
**Formation energy without anion corrections**: -0.634 eV per atom
**Density of states at the Fermi level**: 12.929 states/eV/cell
**Crystal system**: monoclinic

a = 6.930 Å, b = 7.092 Å, c = 7.941 Å
α = 116.31°, β = 90.00°, γ = 119.25°
Each line ends with the local moment (μB).
Element x y z (fractional)
Pa1 0.500 0.500 0.500  0.07
N1 0.281 0.562 0.347  0.03
N2 0.722 0.945 0.657  0.15
Rb1 0.500 0.500 0.000  0.00
Rb2 0.000 0.000 0.000  0.00
Pa2 0.000 0.500 0.500  0.07
N3 0.223 0.447 0.656  0.09
N4 0.777 0.055 0.343  0.15
N5 0.278 0.055 0.343  0.15
Sn1 0.000 0.000 0.500  -0.01
N6 0.719 0.438 0.653  0.03
Rb3 0.000 0.500 0.000  0.00
N7 0.223 0.945 0.657  0.15
N8 0.777 0.553 0.344  0.09
Pa3 0.500 0.000 0.500  0.13



CsRbAs2Br: relaxed, PBE.

Calculated values
**Formation energy without anion corrections**: 0.175 eV per atom
**Density of states at the Fermi level**: 2.960 states/eV/cell
**Crystal system**: tetragonal

a = 6.631 Å, b = 6.631 Å, c = 6.508 Å
α = 90.00°, β = 90.00°, γ = 90.00°
Each line ends with the local moment (μB).
Element x y z (fractional)
Cs1 0.500 0.500 0.500  0.01
As1 0.500 0.000 0.000  1.01
Br1 0.000 0.000 0.500  0.07
As2 0.000 0.500 0.000  1.01
Rb1 0.000 0.000 0.000  0.05



PBr2F: relaxed, PBE.

Calculated values
**Formation energy without anion corrections**: -0.038 eV per atom
**Density of states at the Fermi level**: 0.000 states/eV/cell
**Excess energy over the best structure of this formula in the dataset**: 0 meV/atom
**Crystal system**: trigonal

a = 8.218 Å, b = 8.218 Å, c = 8.218 Å
α = 25.62°, β = 25.62°, γ = 25.62°
Element x y z (fractional)
F1 0.000 0.000 0.000
Br1 0.097 0.097 0.097
Br2 0.903 0.903 0.903
P1 0.500 0.500 0.500



NpAsRhS: relaxed, PBE.

Calculated values
**Formation energy without anion corrections**: -0.812 eV per atom
**Density of states at the Fermi level**: 19.634 states/eV/cell
**Crystal system**: tetragonal

a = 4.189 Å, b = 4.189 Å, c = 8.616 Å
α = 90.00°, β = 90.00°, γ = 90.00°
Each line ends with the local moment (μB).
Element x y z (fractional)
As1 0.000 0.500 0.838  0.00
Np1 0.000 0.500 0.304  3.59
Rh1 0.000 0.000 0.000  0.13
As2 0.500 0.000 0.162  0.00
Np2 0.500 0.000 0.696  3.59
S1 0.000 0.000 0.500  -0.14
S2 0.500 0.500 0.500  -0.14
Rh2 0.500 0.500 0.000  0.13



Li2CoW: relaxed, PBE.

Calculated values
**Density of states at the Fermi level**: 2.607 states/eV/cell
**Excess energy over the best structure of this formula in the dataset**: 107 meV/atom
**Crystal system**: trigonal
**Formation energy**: 0.38 eV per atom

a = 9.445 Å, b = 9.445 Å, c = 9.445 Å
α = 16.09°, β = 16.09°, γ = 16.09°
Each line ends with the local moment (μB).
Element x y z (fractional)
Li1 0.007 0.007 0.007  -0.04
W1 0.250 0.250 0.250  0.04
Co1 0.750 0.750 0.750  1.42
Li2 0.493 0.493 0.493  -0.04



DyPa4N5: relaxed, PBE.

Calculated values
**Formation energy without anion corrections**: -1.645 eV per atom
**Density of states at the Fermi level**: 6.662 states/eV/cell
**Crystal system**: tetragonal

a = 4.938 Å, b = 6.050 Å, c = 6.050 Å
α = 80.41°, β = 65.91°, γ = 65.91°
Element x y z (fractional)
Pa1 0.602 0.600 0.198
Pa2 0.400 0.400 0.802
N1 0.102 0.599 0.199
Pa3 0.800 0.802 0.600
Dy1 0.001 0.000 0.000
N2 0.501 0.000 0.000
N3 0.301 0.801 0.599
N4 0.701 0.199 0.401
N5 0.900 0.401 0.801
Pa4 0.202 0.198 0.400



AcBH: relaxed, PBE.

Calculated values
**Density of states at the Fermi level**: 2.176 states/eV/cell
**Total DFT energy (no corrections)**: -0.365 Ry per atom
**Crystal system**: orthorhombic

a = 3.891 Å, b = 3.316 Å, c = 8.458 Å
α = 66.93°, β = 76.72°, γ = 90.03°
Element x y z (fractional)
H1 0.803 0.856 0.394
B1 0.011 0.772 0.978
Ac1 0.371 0.492 0.258
B2 0.989 0.228 0.022
Ac2 0.629 0.508 0.742
H2 0.197 0.144 0.606



ZnReTeN2: relaxed, PBE.

Calculated values
**Formation energy without anion corrections**: 0.410 eV per atom
**Density of states at the Fermi level**: 2.803 states/eV/cell
**Excess energy over the best structure of this formula in the dataset**: 0 meV/atom
**Crystal system**: tetragonal

a = 3.866 Å, b = 3.866 Å, c = 5.856 Å
α = 90.00°, β = 90.00°, γ = 90.00°
Element x y z (fractional)
N1 0.000 0.500 0.000
N2 0.500 0.000 0.000
Zn1 0.500 0.500 0.500
Re1 0.000 0.000 0.000
Te1 0.000 0.000 0.500



InHg2Cl: relaxed, PBE.

Calculated values
**Formation energy without anion corrections**: -0.251 eV per atom
**Density of states at the Fermi level**: 0.691 states/eV/cell
**Excess energy over the best structure of this formula in the dataset**: 144 meV/atom
**Crystal system**: orthorhombic

a = 3.565 Å, b = 5.394 Å, c = 5.941 Å
α = 90.00°, β = 90.00°, γ = 90.00°
Element x y z (fractional)
Hg1 0.000 0.000 0.993
Hg2 0.000 0.000 0.507
In1 0.500 0.500 0.250
Cl1 0.500 0.500 0.750



NdZr3: relaxed, PBE.

Calculated values
**Density of states at the Fermi level**: 5.107 states/eV/cell
**Excess energy over the best structure of this formula in the dataset**: 38 meV/atom
**Crystal system**: tetragonal
**Formation energy**: 0.17 eV per atom

a = 4.664 Å, b = 4.664 Å, c = 5.707 Å
α = 114.12°, β = 114.12°, γ = 90.00°
Element x y z (fractional)
Zr1 0.250 0.750 0.500
Nd1 0.000 0.000 0.000
Zr2 0.750 0.250 0.500
Zr3 0.500 0.500 0.000



MgAgGe2O6: relaxed, PBE.

Calculated values
**Formation energy without anion corrections**: -1.494 eV per atom
**Density of states at the Fermi level**: 6.087 states/eV/cell
**Crystal system**: monoclinic

a = 5.226 Å, b = 7.034 Å, c = 7.034 Å
α = 89.42°, β = 81.47°, γ = 81.47°
Each line ends with the local moment (μB).
Element x y z (fractional)
O1 0.355 0.230 0.010  0.15
Ge1 0.208 0.789 0.609  0.00
O2 0.394 0.584 0.716  0.01
Ag1 0.250 0.902 0.098  0.42
O3 0.891 0.394 0.833  0.07
O4 0.609 0.167 0.606  0.07
O5 0.109 0.606 0.167  0.07
Ge2 0.708 0.609 0.789  0.00
Ge3 0.792 0.211 0.391  0.00
Mg1 0.250 0.273 0.727  0.00
O6 0.894 0.716 0.584  0.01
O7 0.645 0.770 0.990  0.15
O8 0.855 0.010 0.230  0.15
O9 0.391 0.833 0.394  0.07
Ag2 0.750 0.098 0.902  0.42
Ge4 0.292 0.391 0.211  0.00
O10 0.145 0.990 0.770  0.15
O11 0.106 0.284 0.416  0.01
Mg2 0.750 0.727 0.273  0.00
O12 0.606 0.416 0.284  0.01



Na2InBi2: relaxed, PBE.

Calculated values
**Density of states at the Fermi level**: 1.861 states/eV/cell
**Excess energy over the best structure of this formula in the dataset**: 201 meV/atom
**Crystal system**: tetragonal
**Formation energy**: -0.03 eV per atom

a = 5.126 Å, b = 5.126 Å, c = 7.598 Å
α = 70.29°, β = 70.29°, γ = 90.00°
Element x y z (fractional)
Bi1 0.393 0.393 0.214
Na1 0.750 0.250 0.500
Na2 0.250 0.750 0.500
Bi2 0.607 0.607 0.786
In1 0.000 0.000 0.000



PaAs2Os: relaxed, PBE.

Calculated values
**Density of states at the Fermi level**: 4.537 states/eV/cell
**Crystal system**: trigonal
**Formation energy**: 0.25 eV per atom

a = 3.002 Å, b = 3.002 Å, c = 9.906 Å
α = 81.29°, β = 81.29°, γ = 60.00°
Element x y z (fractional)
As1 0.081 0.081 0.756
As2 0.919 0.919 0.244
Pa1 0.500 0.500 0.500
Os1 0.000 0.000 0.000



Tl2IrOs: relaxed, PBE.

Calculated values
**Density of states at the Fermi level**: 3.685 states/eV/cell
**Excess energy over the best structure of this formula in the dataset**: 414 meV/atom
**Crystal system**: monoclinic
**Formation energy**: 0.93 eV per atom

a = 3.116 Å, b = 5.355 Å, c = 5.684 Å
α = 51.63°, β = 90.00°, γ = 90.00°
Element x y z (fractional)
Os1 0.000 0.000 0.500
Ir1 0.500 0.500 0.500
Tl1 0.500 0.500 0.000
Tl2 0.000 0.000 0.000



CuSb2Os: relaxed, PBE.

Calculated values
**Formation energy without anion corrections**: 0.612 eV per atom
**Density of states at the Fermi level**: 3.146 states/eV/cell
**Excess energy over the best structure of this formula in the dataset**: 314 meV/atom
**Crystal system**: orthorhombic

a = 3.068 Å, b = 3.068 Å, c = 9.958 Å
α = 90.00°, β = 90.00°, γ = 117.97°
Element x y z (fractional)
Cu1 0.000 0.000 0.524
Os1 0.500 0.500 0.727
Sb1 0.500 0.500 0.308
Sb2 0.000 0.000 0.942



Th2Ga5Ru3: relaxed, PBE.

Calculated values
**Density of states at the Fermi level**: 12.392 states/eV/cell
**Excess energy over the best structure of this formula in the dataset**: 63 meV/atom
**Crystal system**: orthorhombic
**Formation energy**: -0.50 eV per atom

a = 6.015 Å, b = 8.488 Å, c = 8.488 Å
α = 79.61°, β = 69.25°, γ = 69.25°
Element x y z (fractional)
Ru1 0.375 0.488 0.763
Th1 0.631 0.115 0.623
Th2 0.131 0.623 0.115
Th3 0.369 0.885 0.377
Ga1 0.250 0.500 0.500
Ru2 0.875 0.763 0.488
Ga2 0.503 0.247 0.247
Ru3 0.750 0.000 0.000
Ga3 0.750 0.500 0.500
Th4 0.869 0.377 0.885
Ga4 0.887 0.978 0.249
Ga5 0.613 0.751 0.022
Ru4 0.125 0.237 0.512
Ru5 0.625 0.512 0.237
Ga6 0.387 0.249 0.978
Ru6 0.250 0.000 0.000
Ga7 0.497 0.753 0.753
Ga8 0.113 0.022 0.751
Ga9 0.997 0.753 0.753
Ga10 0.003 0.247 0.247



Cs2Sr2Bi: relaxed, PBE.

Calculated values
**Density of states at the Fermi level**: 9.695 states/eV/cell
**Crystal system**: tetragonal
**Formation energy**: -0.20 eV per atom

a = 9.025 Å, b = 9.025 Å, c = 7.664 Å
α = 90.00°, β = 90.00°, γ = 90.00°
Element x y z (fractional)
Sr1 0.665 0.165 0.000
Sr2 0.835 0.665 0.000
Sr3 0.165 0.335 0.000
Cs1 0.317 0.183 0.500
Cs2 0.683 0.817 0.500
Cs3 0.183 0.683 0.500
Bi1 0.500 0.500 0.000
Cs4 0.817 0.317 0.500
Sr4 0.335 0.835 0.000
Bi2 0.000 0.000 0.000



Ce2ZrSc12: relaxed, PBE.

Calculated values
**Density of states at the Fermi level**: 59.879 states/eV/cell
**Crystal system**: orthorhombic
**Formation energy**: 0.17 eV per atom

a = 6.173 Å, b = 6.173 Å, c = 22.673 Å
α = 90.00°, β = 90.00°, γ = 116.90°
Each line ends with the local moment (μB).
Element x y z (fractional)
Sc1 0.500 0.500 0.197  0.01
Sc2 0.750 0.250 0.417  0.01
Sc3 0.750 0.750 0.927  -0.02
Sc4 0.750 0.750 0.439  -0.04
Zr1 0.500 0.000 0.000  0.01
Sc5 0.250 0.750 0.583  0.01
Sc6 0.500 0.500 0.329  0.01
Sc7 0.250 0.750 0.878  -0.01
Sc8 0.500 0.500 0.803  0.01
Sc9 0.000 0.000 0.671  0.01
Sc10 0.750 0.750 0.561  -0.04
Ce1 0.000 0.500 0.269  0.55
Ce2 0.500 0.000 0.731  0.55
Sc11 0.500 0.500 0.671  0.01
Sc12 0.250 0.250 0.439  -0.04
Sc13 0.250 0.250 0.073  -0.02
Sc14 0.000 0.000 0.197  0.01
Sc15 0.250 0.750 0.417  0.01
Sc16 0.750 0.250 0.583  0.01
Sc17 0.000 0.000 0.803  0.01
Sc18 0.250 0.750 0.122  -0.01
Sc19 0.250 0.250 0.561  -0.04
Sc20 0.750 0.250 0.878  -0.01
Sc21 0.750 0.750 0.073  -0.02
Sc22 0.250 0.250 0.927  -0.02
Sc23 0.000 0.000 0.329  0.01
Ce3 0.000 0.500 0.731  0.55
Sc24 0.750 0.250 0.122  -0.01
Ce4 0.500 0.000 0.269  0.55
Zr2 0.000 0.500 0.000  0.01



CsNiH3: relaxed, PBE.

Calculated values
**Density of states at the Fermi level**: 1.488 states/eV/cell
**Excess energy over the best structure of this formula in the dataset**: 325 meV/atom
**Crystal system**: cubic

a = 3.942 Å, b = 3.942 Å, c = 3.942 Å
α = 90.00°, β = 90.00°, γ = 90.00°
Element x y z (fractional)
Cs1 0.500 0.500 0.500
H1 0.500 0.000 0.000
H2 0.000 0.500 0.000
Ni1 0.000 0.000 0.000
H3 0.000 0.000 0.500